# PAuI3 PBE optimized geometry
data_PAuI3
_cell_length_a 5.4731
_cell_length_b 5.4731
_cell_length_c 5.4731
_cell_angle_alpha 90.00
_cell_angle_beta 90.00
_cell_angle_gamma 90.00
_space_group_name_H-M_alt 'P 1'
_space_group_IT_number 1
loop_
_space_group_symop_operation_xyz
'x,y,z'
loop_
_atom_site_label
_atom_site_fract_x
_atom_site_fract_y
_atom_site_fract_z
_atom_site_occupancy
I1 0.0000 0.5000 0.0000 1
I2 0.0000 0.0000 0.5000 1
P1 0.0000 0.0000 0.0000 1
I3 0.5000 0.0000 0.0000 1
Au1 0.5000 0.5000 0.5000 1
# Total energy   -2.1338 eV per atom
# N(E_F)   0.41 states/eV/atom